1.
The following is a PBE calculation of a geometry-optimized CsCuI2N structure, from Alexandria via LeMat-Bulk.

```
CsCuI2N
1.0
6.956 0.000 0.000
0.000 6.956 0.000
0.000 0.000 3.495
Cs Cu I N
1 1 2 1
Direct
0.000 0.000 0.000
0.500 0.500 0.500
0.000 0.500 0.500
0.500 0.000 0.500
0.500 0.500 0.000
```

## Properties
uncorrected energy = -15.6 eV/cell
space-group type = P4/mmm (123)
distance to the lowest polymorph of the same formula = 0 meV per atom

=====

2.
The following is a PBE calculation of a geometry-optimized CsCuI2N structure, from Alexandria via LeMat-Bulk.

```
CsCuI2N
1.0
6.991 0.000 0.000
0.000 6.991 0.000
0.000 0.000 4.736
Cs Cu I N
1 1 2 1
Direct
0.000 0.000 0.000
0.500 0.500 0.500
0.000 0.500 0.000
0.500 0.000 0.000
0.000 0.000 0.500
```

## Properties
uncorrected energy = -9.6 eV/cell
space-group type = P4/mmm (123)
distance to the lowest polymorph of the same formula = 1205 meV per atom

=====

3.
The following is a PBE calculation of a geometry-optimized CsNa3Cu4I12 structure, from Alexandria via LeMat-Bulk.

```
CsNa3Cu4I12
1.0
7.597 4.386 4.679
-7.597 4.386 4.679
0.000 -8.772 4.679
Cs Na Cu I
1 3 4 12
Direct
0.000 0.000 0.000
0.000 0.544 0.456
0.456 0.000 0.544
0.544 0.456 0.000
0.059 0.500 0.941
0.500 0.500 0.500
0.500 0.941 0.059
0.941 0.059 0.500
0.026 0.229 0.365
0.110 0.890 0.500
0.229 0.365 0.026
0.335 0.665 0.500
0.365 0.026 0.229
0.500 0.110 0.890
0.500 0.335 0.665
0.635 0.771 0.974
0.665 0.500 0.335
0.771 0.974 0.635
0.890 0.500 0.110
0.974 0.635 0.771
```

## Properties
uncorrected energy = -50.2 eV/cell
space-group type = R32 (155)

=====

4.
The following is a PBE calculation of a geometry-optimized Cs2NaCuI6 structure, from Alexandria via LeMat-Bulk.

```
Cs2NaCuI6
1.0
-4.193 4.193 5.929
4.193 -4.193 5.929
4.193 4.193 -5.929
Cs Na Cu I
2 1 1 6
Direct
0.250 0.750 0.500
0.750 0.250 0.500
0.000 0.000 0.000
0.500 0.500 0.000
0.265 0.265 0.530
0.265 0.735 0.000
0.266 0.266 0.000
0.734 0.734 0.000
0.735 0.265 0.000
0.735 0.735 0.470
```

## Properties
uncorrected energy = -24.5 eV/cell
space-group type = I4/mmm (139)

=====

Number 1: formation energy without anion corrections 0.1543 eV/atom. Number 2: formation energy without anion corrections 1.3588 eV/atom. Number 3: formation energy without anion corrections -0.5206 eV/atom. Number 4: formation energy without anion corrections -0.8106 eV/atom.